[1]
Compound: Dy4HoTl3
Source: Alexandria via LeMat-Bulk
Functional: PBE
Structure: optimized geometry

abc: 8.8563 8.8563 8.8563
angles: 156.64 120.09 65.20
Closest atoms and distances in Å follow each position.
Fractional coordinates of all 8 atoms:
Dy (0.0612, 0.8624, 0.1988)  5 Tl 3.18-3.29, 1 Ho 3.36, 1 Dy 3.52
Dy (0.3365, 0.1376, 0.1988)  5 Tl 3.18-3.29, 1 Ho 3.36, 1 Dy 3.52
Dy (0.6635, 0.8624, 0.8012)  5 Tl 3.18-3.29, 1 Ho 3.36, 1 Dy 3.52
Dy (0.9388, 0.1376, 0.8012)  5 Tl 3.18-3.29, 1 Ho 3.36, 1 Dy 3.52
Ho (0.5000, 0.0000, 0.5000)  4 Tl 3.29, 4 Dy 3.36, 2 Ho 3.59
Tl (0.0000, 0.5000, 0.5000)  8 Dy 3.24, 2 Tl 3.59
Tl (0.3152, 0.3152, 0.0000)  6 Dy 3.18-3.29, 2 Ho 3.29
Tl (0.6848, 0.6848, 0.0000)  6 Dy 3.18-3.29, 2 Ho 3.29

Calculated formation energy   -134 meV per atom
DFT total energy   -31.15 eV for the cell shown
Magnetic moment   0.000 μB per atom
DOS(E_F)   1.102 states/eV per atom

---

[2]
Compound: DyHo7Tl2
Source: Alexandria via LeMat-Bulk
Functional: PBE
Structure: optimized geometry

abc: 9.0123 9.0123 5.2871
angles: 90.00 90.00 119.07
Closest atoms and distances in Å follow each position.
Fractional coordinates of all 10 atoms:
Dy (0.0000, 0.0000, 0.0000)  10 Ho 3.49-3.63
Ho (0.0618, 0.3016, 0.5000)  2 Tl 3.13-3.34, 2 Ho 3.32-3.45
Ho (0.2248, 0.7752, 0.0000)  2 Tl 2.93
Ho (0.3016, 0.0618, 0.5000)  2 Tl 3.13-3.34, 2 Ho 3.32-3.45
Ho (0.5000, 0.5000, 0.5000)  2 Tl 3.01
Ho (0.6984, 0.9382, 0.5000)  2 Tl 3.13-3.34, 2 Ho 3.32-3.45
Ho (0.7752, 0.2248, 0.0000)  2 Tl 2.93
Ho (0.9382, 0.6984, 0.5000)  2 Tl 3.13-3.34, 2 Ho 3.32-3.45
Tl (0.3065, 0.6935, 0.5000)  5 Ho 2.93-3.13
Tl (0.6935, 0.3065, 0.5000)  5 Ho 2.93-3.13

Calculated formation energy   370 meV per atom
DFT total energy   -37.68 eV for the cell shown
Magnetic moment   0.000 μB per atom
DOS(E_F)   1.909 states/eV per atom

---

[3]
Compound: Dy12Ho5Tl3
Source: Alexandria via LeMat-Bulk
Functional: PBE
Structure: optimized geometry

abc: 16.0240 16.0240 16.0240
angles: 109.47 109.47 109.47
Closest atoms and distances in Å follow each position.
Fractional coordinates of all 80 atoms:
Dy (0.0714, 0.6498, 0.4192)  3 Dy 3.12-3.45, 2 Ho 3.16-3.28, 2 Tl 3.19-3.31
Dy (0.0714, 0.9216, 0.6521)  3 Dy 3.12-3.45, 2 Ho 3.16-3.28, 2 Tl 3.19-3.31
Dy (0.0784, 0.2305, 0.1498)  3 Dy 3.12-3.45, 2 Ho 3.16-3.28, 2 Tl 3.19-3.31
Dy (0.0784, 0.3479, 0.9286)  3 Dy 3.12-3.45, 2 Ho 3.16-3.28, 2 Tl 3.19-3.31
Dy (0.0808, 0.7305, 0.6521)  3 Dy 3.12-3.45, 2 Ho 3.16-3.28, 2 Tl 3.19-3.31
Dy (0.0808, 0.8502, 0.4286)  3 Dy 3.12-3.45, 2 Ho 3.16-3.28, 2 Tl 3.19-3.31
Dy (0.1498, 0.0784, 0.2305)  3 Dy 3.12-3.45, 2 Ho 3.16-3.28, 2 Tl 3.19-3.31
Dy (0.1498, 0.5714, 0.9192)  3 Dy 3.12-3.45, 2 Ho 3.16-3.28, 2 Tl 3.19-3.31
Dy (0.1521, 0.2305, 0.5808)  3 Dy 3.12-3.45, 2 Ho 3.16-3.28, 2 Tl 3.19-3.31
Dy (0.1521, 0.4216, 0.5714)  3 Dy 3.12-3.45, 2 Ho 3.16-3.28, 2 Tl 3.19-3.31
Dy (0.2305, 0.1498, 0.0784)  3 Dy 3.12-3.45, 2 Ho 3.16-3.28, 2 Tl 3.19-3.31
Dy (0.2305, 0.5808, 0.1521)  3 Dy 3.12-3.45, 2 Ho 3.16-3.28, 2 Tl 3.19-3.31
Dy (0.2695, 0.3479, 0.9192)  3 Dy 3.12-3.45, 2 Ho 3.16-3.28, 2 Tl 3.19-3.31
Dy (0.2695, 0.4216, 0.3502)  3 Dy 3.12-3.45, 2 Ho 3.16-3.28, 2 Tl 3.19-3.31
Dy (0.3479, 0.9192, 0.2695)  3 Dy 3.12-3.45, 2 Ho 3.16-3.28, 2 Tl 3.19-3.31
Dy (0.3479, 0.9286, 0.0784)  3 Dy 3.12-3.45, 2 Ho 3.16-3.28, 2 Tl 3.19-3.31
Dy (0.3502, 0.2695, 0.4216)  3 Dy 3.12-3.45, 2 Ho 3.16-3.28, 2 Tl 3.19-3.31
Dy (0.3502, 0.5808, 0.9286)  3 Dy 3.12-3.45, 2 Ho 3.16-3.28, 2 Tl 3.19-3.31
Dy (0.4192, 0.0714, 0.6498)  3 Dy 3.12-3.45, 2 Ho 3.16-3.28, 2 Tl 3.19-3.31
Dy (0.4192, 0.8479, 0.7695)  3 Dy 3.12-3.45, 2 Ho 3.16-3.28, 2 Tl 3.19-3.31
Dy (0.4216, 0.3502, 0.2695)  3 Dy 3.12-3.45, 2 Ho 3.16-3.28, 2 Tl 3.19-3.31
Dy (0.4216, 0.5714, 0.1521)  3 Dy 3.12-3.45, 2 Ho 3.16-3.28, 2 Tl 3.19-3.31
Dy (0.4286, 0.0808, 0.8502)  3 Dy 3.12-3.45, 2 Ho 3.16-3.28, 2 Tl 3.19-3.31
Dy (0.4286, 0.8479, 0.5784)  3 Dy 3.12-3.45, 2 Ho 3.16-3.28, 2 Tl 3.19-3.31
Dy (0.5714, 0.1521, 0.4216)  3 Dy 3.12-3.45, 2 Ho 3.16-3.28, 2 Tl 3.19-3.31
Dy (0.5714, 0.9192, 0.1498)  3 Dy 3.12-3.45, 2 Ho 3.16-3.28, 2 Tl 3.19-3.31
Dy (0.5784, 0.4286, 0.8479)  3 Dy 3.12-3.45, 2 Ho 3.16-3.28, 2 Tl 3.19-3.31
Dy (0.5784, 0.6498, 0.7305)  3 Dy 3.12-3.45, 2 Ho 3.16-3.28, 2 Tl 3.19-3.31
Dy (0.5808, 0.1521, 0.2305)  3 Dy 3.12-3.45, 2 Ho 3.16-3.28, 2 Tl 3.19-3.31
Dy (0.5808, 0.9286, 0.3502)  3 Dy 3.12-3.45, 2 Ho 3.16-3.28, 2 Tl 3.19-3.31
Dy (0.6498, 0.4192, 0.0714)  3 Dy 3.12-3.45, 2 Ho 3.16-3.28, 2 Tl 3.19-3.31
Dy (0.6498, 0.7305, 0.5784)  3 Dy 3.12-3.45, 2 Ho 3.16-3.28, 2 Tl 3.19-3.31
Dy (0.6521, 0.0714, 0.9216)  3 Dy 3.12-3.45, 2 Ho 3.16-3.28, 2 Tl 3.19-3.31
Dy (0.6521, 0.0808, 0.7305)  3 Dy 3.12-3.45, 2 Ho 3.16-3.28, 2 Tl 3.19-3.31
Dy (0.7305, 0.5784, 0.6498)  3 Dy 3.12-3.45, 2 Ho 3.16-3.28, 2 Tl 3.19-3.31
Dy (0.7305, 0.6521, 0.0808)  3 Dy 3.12-3.45, 2 Ho 3.16-3.28, 2 Tl 3.19-3.31
Dy (0.7695, 0.4192, 0.8479)  3 Dy 3.12-3.45, 2 Ho 3.16-3.28, 2 Tl 3.19-3.31
Dy (0.7695, 0.8502, 0.9216)  3 Dy 3.12-3.45, 2 Ho 3.16-3.28, 2 Tl 3.19-3.31
Dy (0.8479, 0.5784, 0.4286)  3 Dy 3.12-3.45, 2 Ho 3.16-3.28, 2 Tl 3.19-3.31
Dy (0.8479, 0.7695, 0.4192)  3 Dy 3.12-3.45, 2 Ho 3.16-3.28, 2 Tl 3.19-3.31
Dy (0.8502, 0.4286, 0.0808)  3 Dy 3.12-3.45, 2 Ho 3.16-3.28, 2 Tl 3.19-3.31
Dy (0.8502, 0.9216, 0.7695)  3 Dy 3.12-3.45, 2 Ho 3.16-3.28, 2 Tl 3.19-3.31
Dy (0.9192, 0.1498, 0.5714)  3 Dy 3.12-3.45, 2 Ho 3.16-3.28, 2 Tl 3.19-3.31
Dy (0.9192, 0.2695, 0.3479)  3 Dy 3.12-3.45, 2 Ho 3.16-3.28, 2 Tl 3.19-3.31
Dy (0.9216, 0.6521, 0.0714)  3 Dy 3.12-3.45, 2 Ho 3.16-3.28, 2 Tl 3.19-3.31
Dy (0.9216, 0.7695, 0.8502)  3 Dy 3.12-3.45, 2 Ho 3.16-3.28, 2 Tl 3.19-3.31
Dy (0.9286, 0.0784, 0.3479)  3 Dy 3.12-3.45, 2 Ho 3.16-3.28, 2 Tl 3.19-3.31
Dy (0.9286, 0.3502, 0.5808)  3 Dy 3.12-3.45, 2 Ho 3.16-3.28, 2 Tl 3.19-3.31
Ho (0.0000, 0.0000, 0.0000)  6 Dy 3.16
Ho (0.0000, 0.0000, 0.5000)  6 Dy 3.16
Ho (0.0000, 0.5000, 0.0000)  6 Dy 3.16
Ho (0.0000, 0.5000, 0.5000)  6 Dy 3.16
Ho (0.1250, 0.7500, 0.8750)  4 Dy 3.28
Ho (0.1250, 0.8750, 0.2500)  4 Dy 3.28
Ho (0.2500, 0.1250, 0.8750)  4 Dy 3.28
Ho (0.2500, 0.6250, 0.3750)  4 Dy 3.28
Ho (0.3750, 0.2500, 0.6250)  4 Dy 3.28
Ho (0.3750, 0.6250, 0.7500)  4 Dy 3.28
Ho (0.5000, 0.0000, 0.0000)  6 Dy 3.16
Ho (0.5000, 0.0000, 0.5000)  6 Dy 3.16
Ho (0.5000, 0.5000, 0.0000)  6 Dy 3.16
Ho (0.5000, 0.5000, 0.5000)  6 Dy 3.16
Ho (0.6250, 0.3750, 0.2500)  4 Dy 3.28
Ho (0.6250, 0.7500, 0.3750)  4 Dy 3.28
Ho (0.7500, 0.3750, 0.6250)  4 Dy 3.28
Ho (0.7500, 0.8750, 0.1250)  4 Dy 3.28
Ho (0.8750, 0.1250, 0.7500)  4 Dy 3.28
Ho (0.8750, 0.2500, 0.1250)  4 Dy 3.28
Tl (0.1250, 0.2500, 0.3750)  8 Dy 3.19-3.31
Tl (0.1250, 0.3750, 0.7500)  8 Dy 3.19-3.31
Tl (0.2500, 0.3750, 0.1250)  8 Dy 3.19-3.31
Tl (0.2500, 0.8750, 0.6250)  8 Dy 3.19-3.31
Tl (0.3750, 0.1250, 0.2500)  8 Dy 3.19-3.31
Tl (0.3750, 0.7500, 0.1250)  8 Dy 3.19-3.31
Tl (0.6250, 0.2500, 0.8750)  8 Dy 3.19-3.31
Tl (0.6250, 0.8750, 0.7500)  8 Dy 3.19-3.31
Tl (0.7500, 0.1250, 0.3750)  8 Dy 3.19-3.31
Tl (0.7500, 0.6250, 0.8750)  8 Dy 3.19-3.31
Tl (0.8750, 0.6250, 0.2500)  8 Dy 3.19-3.31
Tl (0.8750, 0.7500, 0.6250)  8 Dy 3.19-3.31

Calculated formation energy   829 meV per atom
DFT total energy   -274.57 eV for the cell shown
Magnetic moment   0.000 μB per atom
DOS(E_F)   1.598 states/eV per atom

---

[4]
Compound: Dy6HoTl
Source: Alexandria via LeMat-Bulk
Functional: PBE
Structure: optimized geometry

abc: 4.8937 4.8937 10.0291
angles: 90.00 90.00 90.00
Closest atoms and distances in Å follow each position.
Fractional coordinates of all 8 atoms:
Dy (0.0000, 0.0000, 0.0000)  4 Tl 3.46, 8 Dy 3.47
Dy (0.0000, 0.0000, 0.5000)  4 Ho 3.46, 8 Dy 3.53
Dy (0.0000, 0.5000, 0.2459)  8 Dy 3.46-3.53, 2 Tl 3.47, 2 Ho 3.53
Dy (0.0000, 0.5000, 0.7541)  8 Dy 3.46-3.53, 2 Tl 3.47, 2 Ho 3.53
Dy (0.5000, 0.0000, 0.2459)  8 Dy 3.46-3.53, 2 Tl 3.47, 2 Ho 3.53
Dy (0.5000, 0.0000, 0.7541)  8 Dy 3.46-3.53, 2 Tl 3.47, 2 Ho 3.53
Ho (0.5000, 0.5000, 0.5000)  12 Dy 3.46-3.53
Tl (0.5000, 0.5000, 0.0000)  12 Dy 3.46-3.47

Calculated formation energy   -76 meV per atom
DFT total energy   -35.16 eV for the cell shown
Magnetic moment   0.000 μB per atom
DOS(E_F)   1.117 states/eV per atom

---

[5]
Compound: DyHo5Tl6
Source: Alexandria via LeMat-Bulk
Functional: PBE
Structure: optimized geometry

abc: 9.2761 9.2761 5.3506
angles: 106.68 106.68 120.33
Closest atoms and distances in Å follow each position.
Fractional coordinates of all 12 atoms:
Dy (0.0000, 0.0000, 0.0000)  8 Tl 3.27-3.29
Ho (0.1664, 0.8336, 0.5000)  8 Tl 3.27-3.28
Ho (0.3334, 0.6666, 0.0000)  8 Tl 3.27-3.28
Ho (0.5000, 0.5000, 0.5000)  8 Tl 3.26-3.28
Ho (0.6666, 0.3334, 0.0000)  8 Tl 3.27-3.28
Ho (0.8336, 0.1664, 0.5000)  8 Tl 3.27-3.28
Tl (0.0834, 0.4176, 0.2505)  7 Ho 3.27-3.28, 1 Dy 3.29
Tl (0.2508, 0.2508, 0.7509)  6 Ho 3.26-3.28, 2 Dy 3.27-3.28
Tl (0.4176, 0.0834, 0.2505)  7 Ho 3.27-3.28, 1 Dy 3.29
Tl (0.5824, 0.9166, 0.7495)  7 Ho 3.27-3.28, 1 Dy 3.29
Tl (0.7492, 0.7492, 0.2491)  6 Ho 3.26-3.28, 2 Dy 3.27-3.28
Tl (0.9166, 0.5824, 0.7495)  7 Ho 3.27-3.28, 1 Dy 3.29

Calculated formation energy   -328 meV per atom
DFT total energy   -45.62 eV for the cell shown
Energy relative to the lowest polymorph listed for this composition   0 meV per atom
Magnetic moment   0.000 μB per atom
DOS(E_F)   0.755 states/eV per atom

---

[6]
Compound: Dy2Ho3Tl
Source: Alexandria via LeMat-Bulk
Functional: PBE
Structure: optimized geometry

abc: 7.9172 7.9172 4.8540
angles: 90.00 90.00 144.35
Closest atoms and distances in Å follow each position.
Fractional coordinates of all 6 atoms:
Dy (0.1624, 0.8376, 0.0000)  8 Ho 3.43-3.51, 2 Tl 3.44, 2 Dy 3.58
Dy (0.8376, 0.1624, 0.0000)  8 Ho 3.43-3.51, 2 Tl 3.44, 2 Dy 3.58
Ho (0.0000, 0.0000, 0.5000)  4 Tl 3.43, 4 Dy 3.45, 4 Ho 3.52
Ho (0.3309, 0.6691, 0.5000)  6 Dy 3.43-3.51, 4 Ho 3.44-3.52, 2 Tl 3.52
Ho (0.6691, 0.3309, 0.5000)  6 Dy 3.43-3.51, 4 Ho 3.44-3.52, 2 Tl 3.52
Tl (0.5000, 0.5000, 0.0000)  8 Ho 3.43-3.52, 4 Dy 3.44

Calculated formation energy   -107 meV per atom
DFT total energy   -25.95 eV for the cell shown
Energy relative to the lowest polymorph listed for this composition   0 meV per atom
Magnetic moment   0.000 μB per atom
DOS(E_F)   1.102 states/eV per atom

---

Question: Which value of magnetic moment does entry 4 give?
Answer: 0.000 μB per atom

---

Copy entry 1 word for word.
Compound: Dy4HoTl3
Source: Alexandria via LeMat-Bulk
Functional: PBE
Structure: optimized geometry

abc: 8.8563 8.8563 8.8563
angles: 156.64 120.09 65.20
Closest atoms and distances in Å follow each position.
Fractional coordinates of all 8 atoms:
Dy (0.0612, 0.8624, 0.1988)  5 Tl 3.18-3.29, 1 Ho 3.36, 1 Dy 3.52
Dy (0.3365, 0.1376, 0.1988)  5 Tl 3.18-3.29, 1 Ho 3.36, 1 Dy 3.52
Dy (0.6635, 0.8624, 0.8012)  5 Tl 3.18-3.29, 1 Ho 3.36, 1 Dy 3.52
Dy (0.9388, 0.1376, 0.8012)  5 Tl 3.18-3.29, 1 Ho 3.36, 1 Dy 3.52
Ho (0.5000, 0.0000, 0.5000)  4 Tl 3.29, 4 Dy 3.36, 2 Ho 3.59
Tl (0.0000, 0.5000, 0.5000)  8 Dy 3.24, 2 Tl 3.59
Tl (0.3152, 0.3152, 0.0000)  6 Dy 3.18-3.29, 2 Ho 3.29
Tl (0.6848, 0.6848, 0.0000)  6 Dy 3.18-3.29, 2 Ho 3.29

Calculated formation energy   -134 meV per atom
DFT total energy   -31.15 eV for the cell shown
Magnetic moment   0.000 μB per atom
DOS(E_F)   1.102 states/eV per atom